Density functional theory data (PBE) for a relaxed Hf4Zn5Pt6 crystal.

Structure (POSCAR):
```
Hf4Zn5Pt6
1.0
1.7666 -10.6776 0.0000
1.7666 10.6776 0.0000
0.0000 0.0000 13.9417
Hf Zn Pt
8 10 12
Direct
0.0161 0.9839 0.5000 Hf
0.0500 0.9500 0.7642 Hf
0.1381 0.8619 0.2713 Hf
0.1783 0.8217 0.9328 Hf
0.8217 0.1783 0.4328 Hf
0.8619 0.1381 0.7713 Hf
0.9500 0.0500 0.2642 Hf
0.9839 0.0161 0.0000 Hf
0.1834 0.8166 0.6187 Zn
0.3050 0.6950 0.6049 Zn
0.3325 0.6675 0.2634 Zn
0.3583 0.6417 0.9527 Zn
0.4646 0.5354 0.6594 Zn
0.5354 0.4646 0.1594 Zn
0.6417 0.3583 0.4527 Zn
0.6675 0.3325 0.7634 Zn
0.6950 0.3050 0.1049 Zn
0.8166 0.1834 0.1187 Zn
0.1031 0.8969 0.0837 Pt
0.2293 0.7707 0.4460 Pt
0.2628 0.7372 0.7780 Pt
0.4147 0.5853 0.1160 Pt
0.4207 0.5793 0.4128 Pt
0.4558 0.5442 0.8458 Pt
0.5442 0.4558 0.3458 Pt
0.5793 0.4207 0.9128 Pt
0.5853 0.4147 0.6160 Pt
0.7372 0.2628 0.2780 Pt
0.7707 0.2293 0.9460 Pt
0.8969 0.1031 0.5837 Pt
```

* calculated formation energy: -0.74 eV per atom
* magnetization: 0.000 μB per atom
* electronic total energy: -0.45808 Ry/atom